Entry 1:
The following is a GGA-PBE calculation of an optimized crystal structure of AcZnGePd2, from Alexandria.

Formation energy (eV/atom): -0.6625
Calculated total energy (Ry/atom): -0.348

Unit cell a=6.3350 b=6.3350 c=6.3350 alpha=140.77 beta=139.25 gamma=57.84
Closest atoms and distances in Å follow each position.
Fractional coordinates of all 5 atoms:
Ac: 0.0000 0.0000 0.0000  8 Pd 3.25-3.54, 4 Ge 3.38, 4 Zn 3.48-3.56
Zn: 0.2569 0.7569 0.5000  2 Ge 2.63, 2 Pd 2.66
Ge: 0.6282 0.6282 0.0000  3 Pd 2.49-2.52, 2 Zn 2.63
Pd: 0.4010 0.4010 0.0000  1 Ge 2.52, 2 Zn 2.66, 2 Pd 2.80
Pd: 0.7453 0.2453 0.5000  2 Ge 2.49


Entry 2:
The following is a GGA-PBE calculation of an optimized crystal structure of Tb5Sb4Te, from Alexandria.

Calculated total energy (Ry/atom): -0.403
Energy relative to the lowest polymorph listed for this composition (meV/atom): 6

Unit cell a=15.8544 b=15.8544 c=15.8544 alpha=164.06 beta=164.06 gamma=22.61
Closest atoms and distances in Å follow each position.
Fractional coordinates of all 10 atoms:
Tb: 0.0000 0.0000 0.0000  2 Sb 3.08, 4 Te 3.11
Tb: 0.2000 0.2000 0.0000  6 Sb 3.10-3.14
Tb: 0.3978 0.3978 0.0000  5 Sb 3.05-3.11, 1 Te 3.18
Tb: 0.6022 0.6022 0.0000  5 Sb 3.05-3.11, 1 Te 3.18
Tb: 0.8000 0.8000 0.0000  6 Sb 3.10-3.14
Sb: 0.0990 0.0990 0.0000  6 Tb 3.08-3.14
Sb: 0.2996 0.2996 0.0000  6 Tb 3.05-3.11
Sb: 0.7004 0.7004 0.0000  6 Tb 3.05-3.11
Sb: 0.9010 0.9010 0.0000  6 Tb 3.08-3.14
Te: 0.5000 0.5000 0.0000  6 Tb 3.11-3.18